Computed, not measured: Nd7Ag2Ir2 after structural relaxation at the PBE-GGA level of DFT.

extended XYZ file:
```
11
Lattice="4.111 -5.606 0.000 4.111 5.606 0.000 0.000 0.000 7.296" Properties=species:S:1:pos:R:3 pbc="T T T"
Nd 0.000 0.000 0.000
Nd 2.055 2.803 1.862
Nd 2.055 2.803 5.434
Nd 2.055 -2.803 1.862
Nd 2.055 -2.803 5.434
Nd 4.111 0.000 1.805
Nd 4.111 0.000 5.491
Ag 1.439 0.000 3.648
Ag 6.782 0.000 3.648
Ir 4.111 2.368 0.000
Ir 4.111 -2.368 0.000
```

Properties
E_form, eV/f.u.: -3.2
Electronic total energy, eV per atom: -5.4534
Symmetry: Cmmm, No. 65

---

Computed, not measured: Nd2AgIrO6 after structural relaxation at the PBE-GGA level of DFT.

extended XYZ file:
```
10
Lattice="2.919 1.685 5.269 -2.919 1.685 5.269 0.000 -3.370 5.269" Properties=species:S:1:pos:R:3 pbc="T T T"
Nd 0.000 0.000 0.000
Nd 0.000 0.000 7.613
Ag 0.000 0.000 3.920
Ir 0.000 0.000 10.786
O -1.220 -1.711 6.559
O -1.556 -0.083 9.504
O -0.872 1.912 6.559
O 0.850 -1.306 9.504
O 2.092 -0.201 6.559
O 0.706 1.389 9.504
```

Properties
Electronic total energy, eV per atom: -6.9886
Symmetry: R3, No. 146

---

Computed, not measured: NdAg2IrO6 after structural relaxation at the PBE-GGA level of DFT.

extended XYZ file:
```
20
Lattice="5.741 0.000 0.000 0.000 5.740 0.000 -5.561 0.000 8.290" Properties=species:S:1:pos:R:3 pbc="T T T"
Nd 0.000 0.000 0.000
Nd -2.780 2.870 4.145
Ag -2.772 0.110 6.225
Ag 0.008 2.759 2.080
Ag 0.173 2.980 6.210
Ag 2.953 5.629 2.065
Ir 0.090 0.000 4.145
Ir 2.871 2.870 0.000
O -0.451 0.272 2.299
O -3.232 2.598 6.444
O 1.192 3.743 0.362
O -1.588 4.866 4.507
O 2.042 1.180 0.402
O -0.738 1.689 4.547
O 0.919 4.050 3.743
O -1.861 4.559 7.888
O 1.769 0.873 3.783
O -1.011 1.996 7.928
O 3.412 3.141 1.846
O 0.632 5.468 5.991
```

Properties
Electronic total energy, eV per atom: -5.9814
Symmetry: P2_1/c, No. 14

---

Computed, not measured: PmNdAgIr after structural relaxation at the PBE-GGA level of DFT.

extended XYZ file:
```
4
Lattice="0.000 3.622 3.622 3.622 0.000 3.622 3.622 3.622 0.000" Properties=species:S:1:pos:R:3 pbc="T T T"
Pm 0.000 0.000 0.000
Nd 3.622 3.622 3.622
Ag 5.432 5.432 5.432
Ir 1.811 1.811 1.811
```

Properties
E_form, eV/f.u.: -1.8
Electronic total energy, eV per atom: -5.7611
Symmetry: F-43m, No. 216

---

Please write out number 2 again, unchanged.
Computed, not measured: Nd2AgIrO6 after structural relaxation at the PBE-GGA level of DFT.

extended XYZ file:
```
10
Lattice="2.919 1.685 5.269 -2.919 1.685 5.269 0.000 -3.370 5.269" Properties=species:S:1:pos:R:3 pbc="T T T"
Nd 0.000 0.000 0.000
Nd 0.000 0.000 7.613
Ag 0.000 0.000 3.920
Ir 0.000 0.000 10.786
O -1.220 -1.711 6.559
O -1.556 -0.083 9.504
O -0.872 1.912 6.559
O 0.850 -1.306 9.504
O 2.092 -0.201 6.559
O 0.706 1.389 9.504
```

Properties
Electronic total energy, eV per atom: -6.9886
Symmetry: R3, No. 146